[1]
PBE ReW2Se, optimized geometry; total energy = -40.0 eV/cell; symmetry = Immm; formation energy from raw total energies = 467 meV per atom
1.0
5.209 0.059 0.696
4.280 2.969 0.696
1.395 0.445 4.298
W Se Re
2 1 1
Cartesian
5.577 1.780 2.798
9.354 2.985 1.440
2.721 0.868 1.423
8.163 2.605 4.268

[2]
PBE ReW2Se, optimized geometry; total energy = -73.3 eV/cell; symmetry = I-42d; formation energy from raw total energies = 1293 meV per atom
1.0
5.569 0.000 0.000
0.000 5.569 0.000
2.784 2.784 5.983
W Re Se
4 2 2
Cartesian
1.380 4.177 1.496
4.188 1.392 1.496
4.177 4.165 4.487
6.961 6.973 4.487
0.000 0.000 0.000
5.569 2.784 2.991
2.784 5.569 2.991
2.784 2.784 0.000

[3]
PBE ReW2Se, optimized geometry; total energy = -39.7 eV/cell; symmetry = Pmmm; formation energy from raw total energies = 543 meV per atom
1.0
3.060 0.000 0.000
0.000 4.577 0.000
0.000 0.000 4.528
W Re Se
2 1 1
Cartesian
0.000 0.000 0.000
1.530 2.289 0.000
1.530 0.000 2.264
0.000 2.289 2.264

[4]
PBE ReW2Se, optimized geometry; total energy = -39.7 eV/cell; symmetry = Cmm2; formation energy from raw total energies = 544 meV per atom
1.0
2.799 -0.008 0.000
-1.028 2.603 0.000
0.000 0.000 9.106
W Se Re
2 1 1
Cartesian
0.000 0.000 0.072
0.886 1.298 2.284
0.886 1.298 6.913
0.000 0.000 4.390

[5]
PBE ReWSe3, optimized geometry; total energy = -140.1 eV/cell; symmetry = C2/c; formation energy from raw total energies = 164 meV per atom
1.0
2.441 -6.080 2.533
3.922 -7.636 -6.999
7.628 0.114 8.030
Se W Re
12 4 4
Cartesian
5.784 -2.597 3.578
7.144 -12.803 -2.812
5.222 -9.787 -3.893
6.847 -0.799 6.375
8.152 -5.687 0.438
9.552 -8.351 2.434
8.349 -5.116 4.244
5.642 -8.486 -0.681
8.769 -3.815 7.457
4.439 -5.252 1.130
8.207 -11.005 -0.014
5.839 -7.916 3.126
5.986 -6.115 -0.468
8.004 -7.487 4.032
6.543 -10.544 -1.895
7.448 -3.058 5.459
9.958 -5.863 2.508
4.032 -7.740 1.056
10.457 -10.411 0.849
3.534 -3.191 2.715

[6]
PBE ReW2Se, optimized geometry; total energy = -39.3 eV/cell; symmetry = C2/m; formation energy from raw total energies = 642 meV per atom
1.0
4.982 -0.003 0.010
-1.968 4.577 0.010
0.447 0.679 2.821
W Re Se
2 1 1
Cartesian
1.507 2.287 0.010
0.000 0.000 0.000
2.715 0.338 1.416
-0.760 2.628 1.416

[7]
PBE ReW2Se, optimized geometry; total energy = -40.2 eV/cell; symmetry = R3m; formation energy from raw total energies = 404 meV per atom
1.0
8.787 -0.021 -0.012
8.294 2.901 -0.012
8.294 1.399 2.542
Se Re W
1 1 2
Cartesian
6.473 1.092 0.642
12.595 2.124 1.249
19.076 3.217 1.892
25.291 4.265 2.509

[8]
PBE ReW2Se, optimized geometry; total energy = -39.8 eV/cell; symmetry = P2/m; formation energy from raw total energies = 520 meV per atom
1.0
-0.420 -0.405 -4.104
1.979 -2.130 0.007
-2.184 -5.335 0.749
Re W Se
1 2 1
Cartesian
-0.261 -2.068 -1.863
1.917 -2.113 0.012
-0.040 -3.749 0.374
-0.363 -5.801 -1.485

[9]
PBE ReWSe3, optimized geometry; total energy = -29.3 eV/cell; symmetry = Pm-3m; formation energy from raw total energies = 1315 meV per atom
1.0
-2.182 3.877 2.166
-4.247 -1.117 -2.280
-1.297 -2.865 3.821
Se W Re
3 1 1
Cartesian
-2.124 -0.558 -1.140
-1.091 1.939 1.083
-0.649 -1.432 1.910
0.000 0.000 0.000
-3.864 -0.052 1.853

[10]
PBE ReW2Se, optimized geometry; total energy = -40.9 eV/cell; symmetry = P4/mmm; formation energy from raw total energies = 246 meV per atom
1.0
-1.241 2.648 0.628
-2.657 -1.031 -0.908
-1.372 -2.182 6.492
Re W Se
1 2 1
Cartesian
-2.292 0.263 1.483
-1.369 -2.177 6.478
-0.689 -1.096 3.260
-2.978 -0.828 4.729

[11]
PBE ReW2Se, optimized geometry; total energy = -38.8 eV/cell; symmetry = I4/mmm; formation energy from raw total energies = 770 meV per atom
1.0
5.149 0.344 0.000
2.053 4.734 0.000
-3.601 -2.539 2.686
Se W Re
1 2 1
Cartesian
2.574 0.172 1.343
0.000 0.000 0.000
3.601 2.539 0.000
1.027 2.367 1.343

[12]
PBE ReW2Se5, optimized geometry; total energy = -215.1 eV/cell; symmetry = Pnnm; formation energy from raw total energies = 250 meV per atom
1.0
7.070 0.000 0.000
0.000 10.746 0.000
0.000 0.000 11.061
Se W Re
20 8 4
Cartesian
5.278 2.233 1.243
3.535 6.570 7.197
0.000 1.197 9.395
3.535 4.176 3.864
0.000 6.092 6.961
5.327 3.140 6.774
3.535 10.026 1.431
0.000 4.654 4.100
1.743 3.140 6.774
0.000 1.046 4.429
1.792 2.233 1.243
0.000 9.549 1.666
5.278 8.513 9.818
3.535 4.326 9.960
0.000 9.699 6.632
1.792 8.513 9.818
3.535 6.419 1.101
5.327 7.606 4.287
3.535 0.719 9.630
1.743 7.606 4.287
5.646 0.000 0.000
0.000 9.232 4.124
1.424 0.000 0.000
3.535 3.860 1.407
4.959 5.373 5.531
3.535 6.886 9.654
0.000 1.513 6.937
2.111 5.373 5.531
3.535 2.674 8.241
0.000 2.698 2.711
0.000 8.047 8.350
3.535 8.071 2.820

total energy of number 7 (ReW2Se)? -40.2 eV/cell

What is the formula in the fifth record? ReWSe3

The highest formation energy from raw total energies belongs to which entry? number 9

The highest total energy belongs to which entry? number 9